No. 1
Below is a relaxed structure of CdAu10, with properties calculated at the PBE level.

Calculated values
DFT formation energy, eV per atom: 0.0333
Symmetry: C2/m, No. 12

Structure (extended XYZ):
```
22
Lattice="4.567 -2.061 0.000 4.567 2.061 0.000 -0.237 0.000 34.212" Properties=species:S:1:pos:R:3 pbc="T T T"
Cd 1.336 0.000 7.094
Cd 7.561 0.000 27.118
Au 0.247 0.000 23.340
Au 0.396 0.000 13.758
Au 1.265 0.000 16.628
Au 1.211 0.000 26.300
Au 2.121 0.000 19.502
Au 2.250 0.000 9.965
Au 3.006 0.000 22.382
Au 3.147 0.000 12.812
Au 4.022 0.000 15.675
Au 3.971 0.000 25.336
Au 4.926 0.000 8.876
Au 4.875 0.000 18.537
Au 5.750 0.000 21.400
Au 5.891 0.000 11.830
Au 6.647 0.000 24.247
Au 6.775 0.000 14.710
Au 7.686 0.000 7.912
Au 7.631 0.000 17.583
Au 8.501 0.000 20.454
Au 8.650 0.000 10.872
```

=====

No. 2
Below is a relaxed structure of DyTmAl2Ir4, with properties calculated at the PBE level.

Calculated values
Raw total energy, eV per atom: -7.226
Symmetry: P-6m2, No. 187

Structure (extended XYZ):
```
8
Lattice="4.285 0.000 0.000 -2.142 3.711 0.000 0.000 0.000 9.085" Properties=species:S:1:pos:R:3 pbc="T T T"
Dy 0.000 0.000 0.000
Tm 2.142 1.237 4.542
Al 0.000 2.474 2.303
Al 0.000 2.474 6.781
Ir 0.000 0.000 3.108
Ir 0.000 0.000 5.977
Ir 2.142 1.237 1.525
Ir 2.142 1.237 7.559
```

=====

No. 3
Below is a relaxed structure of Na2InReO6, with properties calculated at the PBE level.

Calculated values
Raw total energy, eV per atom: -6.374
Symmetry: R3, No. 146

Structure (extended XYZ):
```
10
Lattice="2.745 1.585 4.573 -2.745 1.585 4.573 0.000 -3.170 4.573" Properties=species:S:1:pos:R:3 pbc="T T T"
Na 0.000 0.000 0.000
Na 0.000 0.000 6.851
In 0.000 0.000 3.624
Re 0.000 0.000 10.515
O -1.221 -1.246 4.903
O -2.255 -0.136 7.067
O -0.469 1.681 4.904
O 1.245 -1.885 7.067
O 1.690 -0.434 4.904
O 1.010 2.021 7.067
```

=====

No. 4
Below is a relaxed structure of LaAlNiPd, with properties calculated at the PBE level.

Calculated values
Polymorph energy (0 for the lowest one), meV/atom: 0
Symmetry: P-3m1, No. 164

Structure (extended XYZ):
```
8
Lattice="4.330 0.000 0.000 -2.165 3.750 0.000 0.000 0.000 9.791" Properties=species:S:1:pos:R:3 pbc="T T T"
La 0.000 2.500 2.329
La 2.165 1.250 7.462
Al 0.000 0.000 0.000
Al 0.000 0.000 4.896
Ni 0.000 2.500 9.338
Ni 2.165 1.250 0.453
Pd 0.000 2.500 5.570
Pd 2.165 1.250 4.221
```

=====

No. 5
Below is a relaxed structure of Be2SbPd, with properties calculated at the PBE level.

Calculated values
Raw total energy, eV per atom: -3.816
Symmetry: F-43m, No. 216

Structure (extended XYZ):
```
4
Lattice="0.000 3.114 3.114 3.114 0.000 3.114 3.114 3.114 0.000" Properties=species:S:1:pos:R:3 pbc="T T T"
Be 0.000 0.000 0.000
Be 1.557 1.557 1.557
Sb 3.114 3.114 3.114
Pd 4.672 4.672 4.672
```

=====

No. 6
Below is a relaxed structure of ReTcPO, with properties calculated at the PBE level.

Calculated values
Polymorph energy (0 for the lowest one), meV/atom: 0
Symmetry: Pmc2_1, No. 26

Structure (extended XYZ):
```
8
Lattice="3.977 0.000 0.000 0.000 5.252 0.000 0.000 0.000 5.116" Properties=species:S:1:pos:R:3 pbc="T T T"
Re 0.000 0.316 0.000
Re 0.000 4.936 2.558
Tc 1.988 1.538 1.675
Tc 1.988 3.714 4.233
P 1.988 1.288 4.131
P 1.988 3.964 1.573
O 0.000 1.607 1.650
O 0.000 3.645 4.208
```

=====

No. 7
Below is a relaxed structure of BeCoSnB, with properties calculated at the PBE level.

Calculated values
Polymorph energy (0 for the lowest one), meV/atom: 36
Symmetry: F-43m, No. 216

Structure (extended XYZ):
```
4
Lattice="0.000 2.878 2.878 2.878 0.000 2.878 2.878 2.878 0.000" Properties=species:S:1:pos:R:3 pbc="T T T"
Be 0.000 0.000 0.000
Co 2.878 2.878 2.878
Sn 1.439 1.439 1.439
B 4.317 4.317 4.317
```

=====

No. 8
Below is a relaxed structure of YNbFeB, with properties calculated at the PBE level.

Calculated values
Polymorph energy (0 for the lowest one), meV/atom: 164
Symmetry: F-43m, No. 216

Structure (extended XYZ):
```
4
Lattice="0.000 3.075 3.075 3.075 0.000 3.075 3.075 3.075 0.000" Properties=species:S:1:pos:R:3 pbc="T T T"
Y 0.000 0.000 0.000
Nb 1.538 1.538 1.538
Fe 4.613 4.613 4.613
B 3.075 3.075 3.075
```

=====

No. 9
Below is a relaxed structure of Gd2Si4NiPd, with properties calculated at the PBE level.

Calculated values
Raw total energy, eV per atom: -6.055
Symmetry: Amm2, No. 38

Structure (extended XYZ):
```
8
Lattice="4.066 0.000 0.000 0.000 2.042 8.393 0.000 -2.042 8.393" Properties=species:S:1:pos:R:3 pbc="T T T"
Gd 0.000 0.000 0.000
Gd 2.033 0.000 3.453
Si 0.000 0.000 6.063
Si 0.000 0.000 10.719
Si 2.033 0.000 9.458
Si 2.033 0.000 14.456
Ni 2.033 0.000 7.178
Pd 0.000 0.000 13.113
```

=====

No. 10
Below is a relaxed structure of KTl6Pd6, with properties calculated at the PBE level.

Calculated values
Raw total energy, eV per atom: -3.766
Symmetry: Immm, No. 71

Structure (extended XYZ):
```
13
Lattice="-2.885 4.775 5.028 2.885 -4.775 5.028 2.885 4.775 -5.028" Properties=species:S:1:pos:R:3 pbc="T T T"
K 0.000 0.000 0.000
Tl 2.885 0.000 1.741
Tl 0.000 3.169 0.000
Tl 0.000 0.000 3.405
Tl 0.000 0.000 6.650
Tl 0.000 6.381 0.000
Tl 0.000 4.775 3.287
Pd 1.443 2.387 -2.514
Pd 1.443 -2.387 2.514
Pd 2.885 2.328 0.000
Pd -1.443 2.387 2.514
Pd 1.443 2.387 2.514
Pd 0.000 2.447 5.028
```

=====

No. 11
Below is a relaxed structure of ZrFeAsPd, with properties calculated at the PBE level.

Calculated values
Polymorph energy (0 for the lowest one), meV/atom: 87
Symmetry: F-43m, No. 216

Structure (extended XYZ):
```
4
Lattice="0.000 3.183 3.183 3.183 0.000 3.183 3.183 3.183 0.000" Properties=species:S:1:pos:R:3 pbc="T T T"
Zr 0.000 0.000 0.000
Fe 4.774 4.774 4.774
As 3.183 3.183 3.183
Pd 1.591 1.591 1.591
```

=====

No. 12
Below is a relaxed structure of AgH, with properties calculated at the PBE level.

Calculated values
Polymorph energy (0 for the lowest one), meV/atom: 216
Symmetry: P-6m2, No. 187

Structure (extended XYZ):
```
2
Lattice="2.914 0.000 0.000 -1.457 2.523 0.000 0.000 0.000 2.892" Properties=species:S:1:pos:R:3 pbc="T T T"
Ag 0.000 0.000 0.000
H 1.457 0.841 1.446
```

=====

What are the calculated volume values for these records? In order: 29.27; 18.05; 11.94; 19.88; 15.10; 13.36; 11.92; 14.54; 17.42; 21.31; 16.12; 10.63 Å³/atom.